First-principles (GGA-PBE) data for a relaxed BaBr2 crystal, as listed in Alexandria.

```
BaBr2
1.0
2.491 -10.200 0.000
2.491 10.200 0.000
0.000 0.000 6.237
Ba Br
2 4
Direct
0.836 0.164 0.750
0.164 0.836 0.250
0.219 0.781 0.750
0.427 0.573 0.750
0.573 0.427 0.250
0.781 0.219 0.250
```

E_form (uncorrected) = -2.10 eV/atom
theoretical density = 3.11 g cm⁻³
Fermi-level density of states = 0.000 states/eV/f.u.